Entry 1:
The following is a DFT calculation (PBE) of a relaxed structure of SmDy12Th5.

a b c (Å): 6.2039 10.7466 17.3280
angles (deg): 90.00 96.82 90.00
Space group C2/m (No. 12)
Unique sites:
Sm1 0.0000 0.0000 0.0000
Dy1 0.1072 0.5000 0.8331
Dy2 0.1128 0.1685 0.8332
Dy3 0.2205 0.0000 0.6625
Dy4 0.2200 0.3332 0.6628
Th1 0.0000 0.1666 0.5000
Th2 0.0000 0.3333 0.0000
Th3 0.0000 0.5000 0.5000

V in Å³/cell: 1147
Total energy in eV/cell: -193.806
ΔE_f in eV per atom: 0.008

Entry 2:
The following is a DFT calculation (PBE) of a relaxed structure of Sm4Dy5Th.

a b c (Å): 25.5265 3.5973 7.1428
angles (deg): 90.00 97.89 90.00
Space group C2/m (No. 12)
Unique sites:
Sm1 0.0978 0.0000 0.2970
Sm2 0.2007 0.5000 0.1014
Dy1 0.0000 0.5000 0.5000
Dy2 0.0975 0.0000 0.8027
Dy3 0.2001 0.5000 0.6004
Th1 0.0000 0.5000 0.0000

V in Å³/cell: 650
Offset from the most stable computed form in meV per atom: 0.0
Total energy in eV/cell: -98.209
ΔE_f in eV per atom: 0.020

Entry 3:
The following is a DFT calculation (PBE) of a relaxed structure of Sm5Dy4Th4.

a b c (Å): 12.9473 12.9473 5.0670
angles (deg): 90.00 90.00 90.00
Space group I4/m (No. 87)
Unique sites:
Sm1 0.0000 0.0000 0.0000
Sm2 0.0383 0.8035 0.5000
Dy1 0.1535 0.2342 0.0000
Th1 0.0737 0.6139 0.0000

V in Å³/cell: 849
Total energy in eV/cell: -142.468
ΔE_f in eV per atom: 0.035

Entry 4:
The following is a DFT calculation (PBE) of a relaxed structure of Sm2DyTh.

a b c (Å): 5.0723 5.0723 10.2258
angles (deg): 90.00 90.00 90.00
Space group I4/mmm (No. 139)
Unique sites:
Sm1 0.0000 0.5000 0.2500
Dy1 0.0000 0.0000 0.0000
Th1 0.0000 0.0000 0.5000

V in Å³/cell: 263
Offset from the most stable computed form in meV per atom: 43.2
Total energy in eV/cell: -42.414
ΔE_f in eV per atom: 0.063

Entry 5:
The following is a DFT calculation (PBE) of a relaxed structure of SmDy7Th3.

a b c (Å): 6.4438 6.6926 8.6561
angles (deg): 101.26 97.15 96.67
Space group P-1 (No. 2)
Unique sites:
Sm1 0.0000 0.0000 0.0000
Dy1 0.0000 0.5000 0.0000
Dy2 0.0711 0.2154 0.6432
Dy3 0.2077 0.7310 0.7050
Dy4 0.4921 0.2322 0.9244
Th1 0.3239 0.4484 0.3364
Th2 0.5000 0.0000 0.5000

V in Å³/cell: 359
Offset from the most stable computed form in meV per atom: 0.0
Total energy in eV/cell: -57.531
ΔE_f in eV per atom: 0.151

Entry 6:
The following is a DFT calculation (PBE) of a relaxed structure of Sm3Dy3Th.

a b c (Å): 8.6898 8.6898 21.8199
angles (deg): 90.00 90.00 120.00
Space group R-3 (No. 148, hexagonal axes)
Unique sites:
Sm1 0.0474 0.4471 0.3828
Dy1 0.0037 0.2351 0.5582
Th1 0.0000 0.0000 0.1543

V in Å³/cell: 1427
Offset from the most stable computed form in meV per atom: 205.5
Total energy in eV/cell: -202.159
ΔE_f in eV per atom: 0.241

Entry 7:
The following is a DFT calculation (PBE) of a relaxed structure of Sm9DyTh2.

a b c (Å): 5.1028 5.1028 15.3159
angles (deg): 90.00 90.00 90.00
Space group P4/mmm (No. 123)
Unique sites:
Sm1 0.0000 0.0000 0.0000
Sm2 0.0000 0.0000 0.3328
Sm3 0.0000 0.5000 0.1682
Sm4 0.0000 0.5000 0.5000
Dy1 0.5000 0.5000 0.0000
Th1 0.5000 0.5000 0.3335

V in Å³/cell: 399
Total energy in eV/cell: -61.421
ΔE_f in eV per atom: 0.041

Entry 8:
The following is a DFT calculation (PBE) of a relaxed structure of SmDyTh.

a b c (Å): 3.5887 3.5887 8.7617
angles (deg): 90.00 90.00 120.00
Space group P3m1 (No. 156)
Unique sites:
Sm1 0.0000 0.0000 0.0000
Dy1 0.6667 0.3333 0.3493
Th1 0.3333 0.6667 0.6710

V in Å³/cell: 98
Offset from the most stable computed form in meV per atom: 4.3
Total energy in eV/cell: -16.662
ΔE_f in eV per atom: 0.027

Entry 9:
The following is a DFT calculation (PBE) of a relaxed structure of Sm6Dy12Th.

a b c (Å): 15.4419 15.4419 9.5376
angles (deg): 90.00 90.00 120.00
Space group R-3m (No. 166, hexagonal axes)
Unique sites:
Sm1 0.0382 0.5191 0.1888
Dy1 0.0000 0.3935 0.5000
Dy2 0.0680 0.1360 0.3073
Th1 0.0000 0.0000 0.0000

V in Å³/cell: 1970
Offset from the most stable computed form in meV per atom: 316.9
Total energy in eV/cell: -246.451
ΔE_f in eV per atom: 0.464

Entry 10:
The following is a DFT calculation (PBE) of a relaxed structure of Sm2DyTh.

a b c (Å): 3.5998 3.5998 35.1794
angles (deg): 90.00 90.00 120.00
Space group R-3m (No. 166, hexagonal axes)
Unique sites:
Sm1 0.0000 0.0000 0.2488
Dy1 0.0000 0.0000 0.0000
Th1 0.0000 0.0000 0.5000

V in Å³/cell: 395
Offset from the most stable computed form in meV per atom: 13.8
Total energy in eV/cell: -63.974
ΔE_f in eV per atom: 0.034

Entry 11:
The following is a DFT calculation (PBE) of a relaxed structure of SmDyTh14.

a b c (Å): 11.5981 7.1761 12.4400
angles (deg): 90.00 90.00 90.00
Space group Amm2 (No. 38)
Unique sites:
Sm1 0.0000 0.0000 0.0000
Dy1 0.0000 0.0000 0.4996
Th1 0.0000 0.2494 0.2466
Th2 0.2506 0.0000 0.6652
Th3 0.2509 0.2496 0.4150
Th4 0.2516 0.0000 0.1655
Th5 0.5000 0.0000 0.3322
Th6 0.5000 0.0000 0.8321
Th7 0.5000 0.2502 0.0820

V in Å³/cell: 1035
Total energy in eV/cell: -225.268
ΔE_f in eV per atom: 0.035

Entry 12:
The following is a DFT calculation (PBE) of a relaxed structure of Sm5Dy4Th.

a b c (Å): 18.1597 3.5740 10.5283
angles (deg): 90.00 96.61 90.00
Space group C2/m (No. 12)
Unique sites:
Sm1 0.0000 0.0000 0.0000
Sm2 0.1392 0.5000 0.7257
Sm3 0.1900 0.5000 0.0947
Dy1 0.0480 0.5000 0.2598
Dy2 0.1810 0.0000 0.4163
Th1 0.0000 0.0000 0.5000

V in Å³/cell: 679
Offset from the most stable computed form in meV per atom: 120.8
Total energy in eV/cell: -95.617
ΔE_f in eV per atom: 0.162

Entry 13:
The following is a DFT calculation (PBE) of a relaxed structure of Sm2Dy8Th.

a b c (Å): 19.2074 6.8483 5.5817
angles (deg): 90.00 93.66 90.00
Space group C2/m (No. 12)
Unique sites:
Sm1 0.2178 0.0000 0.2529
Dy1 0.0483 0.0000 0.2316
Dy2 0.1291 0.2389 0.7273
Dy3 0.1836 0.5000 0.2250
Th1 0.0000 0.5000 0.0000

V in Å³/cell: 733
Offset from the most stable computed form in meV per atom: 163.6
Total energy in eV/cell: -103.186
ΔE_f in eV per atom: 0.189

Entry 14:
The following is a DFT calculation (PBE) of a relaxed structure of SmDy2Th2.

a b c (Å): 3.4938 16.8054 23.1957
angles (deg): 90.00 90.00 90.00
Space group Fddd (No. 70, origin choice 2)
Unique sites:
Sm1 0.1250 0.1250 0.1250
Dy1 0.1250 0.2948 0.6250
Th1 0.0000 0.0000 0.0000

V in Å³/cell: 1362
Offset from the most stable computed form in meV per atom: 434.3
Total energy in eV/cell: -212.088
ΔE_f in eV per atom: 0.450

Entry 15:
The following is a DFT calculation (PBE) of a relaxed structure of Sm8Dy3Th.

a b c (Å): 6.5345 11.4280 11.5114
angles (deg): 90.00 90.00 90.00
Space group Immm (No. 71)
Unique sites:
Sm1 0.0000 0.1654 0.2496
Sm2 0.2408 0.2584 0.0000
Dy1 0.0000 0.0000 0.5000
Dy2 0.0000 0.5000 0.2542
Th1 0.0000 0.0000 0.0000

V in Å³/cell: 860
Total energy in eV/cell: -109.445
ΔE_f in eV per atom: 0.355

Entry 16:
The following is a DFT calculation (PBE) of a relaxed structure of Sm2Dy12Th.

a b c (Å): 3.5292 5.5791 24.5162
angles (deg): 83.52 89.96 89.99
Space group P-1 (No. 2)
Unique sites:
Sm1 0.0017 0.1394 0.2257
Dy1 0.0004 0.0661 0.3680
Dy2 0.0019 0.5335 0.4341
Dy3 0.0019 0.7288 0.0424
Dy4 0.4971 0.3318 0.8331
Dy5 0.4989 0.4036 0.6930
Dy6 0.4995 0.7941 0.9108
Th1 0.5000 0.0000 0.5000

V in Å³/cell: 480
Total energy in eV/cell: -71.536
ΔE_f in eV per atom: 0.036

Entry 17:
The following is a DFT calculation (PBE) of a relaxed structure of Sm2Dy5Th.

a b c (Å): 7.1304 14.2831 5.0617
angles (deg): 90.00 90.00 90.00
Space group Pbam (No. 55)
Unique sites:
Sm1 0.2471 0.1233 0.0000
Dy1 0.0000 0.5000 0.5000
Dy2 0.0040 0.2488 0.5000
Dy3 0.2420 0.8773 0.0000
Th1 0.0000 0.0000 0.5000

V in Å³/cell: 516
Total energy in eV/cell: -79.303
ΔE_f in eV per atom: 0.027

Entry 18:
The following is a DFT calculation (PBE) of a relaxed structure of SmDyTh.

a b c (Å): 4.9391 4.9391 8.5206
angles (deg): 90.00 90.00 90.00
Space group P4/nmm (No. 129, origin choice 2)
Unique sites:
Sm1 0.2500 0.2500 0.2074
Dy1 0.2500 0.2500 0.7899
Th1 0.2500 0.7500 0.5000

V in Å³/cell: 208
Offset from the most stable computed form in meV per atom: 173.8
Total energy in eV/cell: -32.306
ΔE_f in eV per atom: 0.196

Entry 19:
The following is a DFT calculation (PBE) of a relaxed structure of Sm7Dy4Th.

a b c (Å): 6.2763 7.2502 8.9475
angles (deg): 90.07 103.66 90.02
Space group P-1 (No. 2)
Unique sites:
Sm1 0.0000 0.0000 0.0000
Sm2 0.2194 0.4999 0.6704
Sm3 0.2763 0.2511 0.3321
Sm4 0.4996 0.2534 0.9991
Dy1 0.2205 0.0000 0.6634
Dy2 0.2750 0.7501 0.3308
Th1 0.0000 0.5000 0.0000

V in Å³/cell: 396
Offset from the most stable computed form in meV per atom: 0.0
Total energy in eV/cell: -58.727
ΔE_f in eV per atom: 0.011

Entry 20:
The following is a DFT calculation (PBE) of a relaxed structure of Sm2Dy3Th.

a b c (Å): 9.4028 13.1771 6.4734
angles (deg): 90.00 90.00 90.00
Space group Cmc2_1 (No. 36)
Unique sites:
Sm1 0.1833 0.1820 0.0000
Dy1 0.0000 0.4149 0.2227
Dy2 0.1828 0.0721 0.4829
Th1 0.0000 0.3302 0.7058

V in Å³/cell: 802
Offset from the most stable computed form in meV per atom: 207.1
Total energy in eV/cell: -116.743
ΔE_f in eV per atom: 0.246